A relaxed structure of TmTl2Br5. Source: the Alexandria database, functional GGA-PBE.

## Properties
D(E_F) in states/eV per cell: 0.0
Crystal system: monoclinic
Space group: Cm
Uncorrected formation energy in eV/atom: -1.32
Calculated density in g/cm³: 4.23
E_tot in eV/atom: -3.52

Geometry as POSCAR:
```
TmTl2Br5
1.0
7.954 0.000 0.000
0.000 7.958 0.008
-3.976 -3.973 6.060
Br Tl Tm
5 2 1
Cartesian
3.977 4.004 3.279
6.080 1.874 0.522
6.082 6.082 0.507
1.872 6.082 0.507
1.874 1.874 0.522
3.977 -0.018 2.143
0.000 3.980 2.149
3.977 3.989 5.885
```